P:
First-principles (PBE) data for NdDyPO after structural relaxation, as listed in the Open Quantum Materials Database.

abc: 4.2131 7.8492 5.4521
angles: 90.00 90.00 90.00
Sites, in units of the cell vectors:
1 Nd 0.0000 0.1343 0.0000
2 Nd 0.0000 0.8657 0.5000
3 Dy 0.5000 0.2963 0.4964
4 Dy 0.5000 0.7037 0.9964
5 P 0.5000 0.3551 0.9966
6 P 0.5000 0.6449 0.4966
7 O 0.0000 0.1736 0.4924
8 O 0.0000 0.8264 0.9924

Properties
The calculation puts the mass density at 6.52 g cm⁻³. As for the total magnetization: 0.2 μB per cell.

Q:
First-principles (PBE) data for NdDyPO after structural relaxation, as listed in the Open Quantum Materials Database.

abc: 4.3071 4.3071 8.8890
angles: 90.00 90.00 90.00
Sites, in units of the cell vectors:
1 Nd 0.2500 0.7500 0.0000
2 Nd 0.7500 0.2500 0.0000
3 Dy 0.2500 0.2500 0.4022
4 Dy 0.7500 0.7500 0.5978
5 P 0.2500 0.2500 0.7892
6 P 0.7500 0.7500 0.2108
7 O 0.2500 0.7500 0.5000
8 O 0.7500 0.2500 0.5000

Properties
The calculation puts the mass density at 7.12 g cm⁻³. As for the total magnetization: 0.0 μB per cell.

Verdict on stability: Q comes out at the bottom.

P:
First-principles (PBE) data for NdDyPO after structural relaxation, as listed in the Open Quantum Materials Database.

abc: 4.3059 7.4425 5.9716
angles: 90.00 90.00 90.00
Sites, in units of the cell vectors:
1 Nd 0.0000 0.1979 0.0000
2 Nd 0.0000 0.8021 0.5000
3 Dy 0.5000 0.3819 0.5685
4 Dy 0.5000 0.6181 0.0685
5 P 0.0000 0.1782 0.4937
6 P 0.0000 0.8218 0.9937
7 O 0.5000 0.3376 0.9361
8 O 0.5000 0.6624 0.4361

Properties
The calculation puts the mass density at 6.14 g cm⁻³. As for the total magnetization: 0.0 μB per cell.

Q:
First-principles (PBE) data for NdDyPO after structural relaxation, as listed in the Open Quantum Materials Database.

abc: 4.3824 4.3824 8.8261
angles: 90.00 90.00 90.00
Sites, in units of the cell vectors:
1 Nd 0.2500 0.2500 0.1121
2 Nd 0.7500 0.7500 0.8879
3 Dy 0.2500 0.7500 0.5000
4 Dy 0.7500 0.2500 0.5000
5 P 0.2500 0.2500 0.6882
6 P 0.7500 0.7500 0.3118
7 O 0.2500 0.7500 0.0000
8 O 0.7500 0.2500 0.0000

Properties
The calculation puts the mass density at 6.93 g cm⁻³. As for the total magnetization: 0.0 μB per cell.

Verdict on stability: Q comes out at the bottom.

P:
First-principles (PBE) data for NdDySi2Os after structural relaxation, as listed in the Open Quantum Materials Database.

abc: 5.8114 5.8114 10.2082
angles: 116.82 116.82 43.04
Sites, in units of the cell vectors:
1 Nd 0.1899 0.1899 0.1088
2 Nd 0.8101 0.8101 0.8912
3 Dy 0.0042 0.0042 0.6749
4 Dy 0.9958 0.9958 0.3251
5 Si 0.3530 0.3530 0.4390
6 Si 0.4975 0.4975 0.8696
7 Si 0.5025 0.5025 0.1304
8 Si 0.6470 0.6470 0.5610
9 Os 0.2703 0.2703 0.6232
10 Os 0.7297 0.7297 0.3768

Properties
The calculation puts the mass density at 8.93 g cm⁻³. As for the total magnetization: 0.2 μB per cell.

Q:
First-principles (PBE) data for NdDySi2Os after structural relaxation, as listed in the Open Quantum Materials Database.

abc: 5.9600 5.9600 10.2051
angles: 118.12 118.12 41.80
Sites, in units of the cell vectors:
1 Nd 0.0149 0.0149 0.1820
2 Nd 0.9851 0.9851 0.8180
3 Dy 0.1790 0.1790 0.6081
4 Dy 0.8210 0.8210 0.3919
5 Si 0.3443 0.3443 0.9353
6 Si 0.4975 0.4975 0.3751
7 Si 0.5025 0.5025 0.6249
8 Si 0.6557 0.6557 0.0647
9 Os 0.2746 0.2746 0.1270
10 Os 0.7254 0.7254 0.8730

Properties
The calculation puts the mass density at 8.81 g cm⁻³. As for the total magnetization: 0.0 μB per cell.

Verdict on stability: Q comes out at the bottom.

P:
First-principles (PBE) data for NdDyPt2 after structural relaxation, as listed in the Open Quantum Materials Database.

abc: 5.6476 4.5701 7.1846
angles: 90.00 91.19 90.00
Sites, in units of the cell vectors:
1 Nd 0.1413 0.2500 0.1849
2 Nd 0.8587 0.7500 0.8151
3 Dy 0.3609 0.2500 0.6802
4 Dy 0.6391 0.7500 0.3198
5 Pt 0.1625 0.7500 0.4624
6 Pt 0.3519 0.7500 0.9500
7 Pt 0.6481 0.2500 0.0500
8 Pt 0.8375 0.2500 0.5376

Properties
The calculation puts the mass density at 12.48 g cm⁻³. As for the total magnetization: 0.0 μB per cell.

Q:
First-principles (PBE) data for NdDyPt2 after structural relaxation, as listed in the Open Quantum Materials Database.

abc: 4.5648 7.1971 5.6383
angles: 90.00 90.00 90.00
Sites, in units of the cell vectors:
1 Nd 0.0000 0.0693 0.0000
2 Nd 0.5000 0.9307 0.5000
3 Dy 0.0000 0.5666 0.2187
4 Dy 0.5000 0.4334 0.7187
5 Pt 0.0000 0.2202 0.5148
6 Pt 0.0000 0.6919 0.7050
7 Pt 0.5000 0.3081 0.2050
8 Pt 0.5000 0.7798 0.0148

Properties
The calculation puts the mass density at 12.49 g cm⁻³. As for the total magnetization: 0.0 μB per cell.

Verdict on stability: P comes out at the bottom.

P:
First-principles (PBE) data for Nd3Dy3Te2Pt after structural relaxation, as listed in the Open Quantum Materials Database.

abc: 8.5247 8.5247 4.0630
angles: 90.00 90.00 120.00
Sites, in units of the cell vectors:
1 Nd 0.0000 0.4065 0.0000
2 Nd 0.4065 0.0000 0.0000
3 Nd 0.5935 0.5935 0.0000
4 Dy 0.0000 0.7595 0.5000
5 Dy 0.2405 0.2405 0.5000
6 Dy 0.7595 0.0000 0.5000
7 Te 0.3333 0.6667 0.5000
8 Te 0.6667 0.3333 0.5000
9 Pt 0.0000 0.0000 0.0000

Properties
The calculation puts the mass density at 8.90 g cm⁻³. As for the total magnetization: 0.0 μB per cell.

Q:
First-principles (PBE) data for Nd3Dy3Te2Pt after structural relaxation, as listed in the Open Quantum Materials Database.

abc: 8.6358 8.6358 3.9580
angles: 90.00 90.00 120.00
Sites, in units of the cell vectors:
1 Nd 0.0000 0.7498 0.0000
2 Nd 0.2502 0.2502 0.0000
3 Nd 0.7498 0.0000 0.0000
4 Dy 0.0000 0.4056 0.5000
5 Dy 0.4056 0.0000 0.5000
6 Dy 0.5944 0.5944 0.5000
7 Te 0.3333 0.6667 0.0000
8 Te 0.6667 0.3333 0.0000
9 Pt 0.0000 0.0000 0.5000

Properties
The calculation puts the mass density at 8.90 g cm⁻³. As for the total magnetization: 0.0 μB per cell.

Verdict on stability: Q comes out at the bottom.